Material: TbNbMoO6
Method: DFT, PBE with a Hubbard U
State: optimized geometry

Geometry as CIF:
```
data_TbNbMoO6
_chemical_formula_sum 'Tb2 Nb2 Mo2 O12'
_cell_length_a 5.4531
_cell_length_b 5.4531
_cell_length_c 8.9829
_cell_angle_alpha 90.00
_cell_angle_beta 90.00
_cell_angle_gamma 120.00
_space_group_name_H-M_alt 'P -3 1 c'
_space_group_IT_number 163
_space_group_name_Hall '-P 3 2c'
loop_
_atom_site_label
_atom_site_fract_x
_atom_site_fract_y
_atom_site_fract_z
_atom_site_occupancy
Tb1 0.3333 0.6667 0.2500 1
Nb1 0.3333 0.6667 0.7500 1
Mo1 0.0000 0.0000 0.0000 1
O1 0.0397 0.3418 0.6267 1
```

## Properties
- total magnetization (Bohr magnetons per cell) = 4.00
- total DFT energy (no corrections) (eV per atom) = -8.17


Material: NbTl2MoO
Method: DFT, PBE with a Hubbard U
State: optimized geometry

Geometry as CIF:
```
data_NbTl2MoO
_chemical_formula_sum 'Nb1 Tl2 Mo1 O1'
_cell_length_a 5.272
_cell_length_b 5.272
_cell_length_c 4.030
_cell_angle_alpha 90.00
_cell_angle_beta 90.00
_cell_angle_gamma 90.00
_space_group_name_H-M_alt 'P 4/m m m'
_space_group_IT_number 123
_space_group_name_Hall '-P 4 2'
loop_
_atom_site_label
_atom_site_fract_x
_atom_site_fract_y
_atom_site_fract_z
_atom_site_occupancy
Nb1 0.000 0.000 0.000 1
Tl1 0.000 0.500 0.500 1
Mo1 0.500 0.500 0.000 1
O1 0.000 0.000 0.500 1
```

## Properties
- total magnetization (Bohr magnetons per cell) = 1.97
- total DFT energy (no corrections) (eV per atom) = -5.15


Material: NbTl2MoO6
Method: DFT, PBE with a Hubbard U
State: optimized geometry

Geometry as CIF:
```
data_NbTl2MoO6
_chemical_formula_sum 'Nb4 Tl8 Mo4 O24'
_cell_length_a 8.166
_cell_length_b 8.166
_cell_length_c 8.166
_cell_angle_alpha 90.00
_cell_angle_beta 90.00
_cell_angle_gamma 90.00
_space_group_name_H-M_alt 'F m -3 m'
_space_group_IT_number 225
_space_group_name_Hall '-F 4 2 3'
loop_
_atom_site_label
_atom_site_fract_x
_atom_site_fract_y
_atom_site_fract_z
_atom_site_occupancy
Nb1 0.000 0.000 0.000 1
Tl1 0.250 0.250 0.250 1
Mo1 0.000 0.000 0.500 1
O1 0.000 0.000 0.252 1
```

## Properties
- total magnetization (Bohr magnetons per cell) = 3.98
- total DFT energy (no corrections) (eV per atom) = -6.77


Material: TmNbMoO6
Method: DFT, PBE with a Hubbard U
State: optimized geometry

Geometry as CIF:
```
data_TmNbMoO6
_chemical_formula_sum 'Tm2 Nb2 Mo2 O12'
_cell_length_a 5.3909
_cell_length_b 5.3909
_cell_length_c 9.0068
_cell_angle_alpha 90.00
_cell_angle_beta 90.00
_cell_angle_gamma 120.00
_space_group_name_H-M_alt 'P -3 1 c'
_space_group_IT_number 163
_space_group_name_Hall '-P 3 2c'
loop_
_atom_site_label
_atom_site_fract_x
_atom_site_fract_y
_atom_site_fract_z
_atom_site_occupancy
Tm1 0.3333 0.6667 0.2500 1
Nb1 0.3333 0.6667 0.7500 1
Mo1 0.0000 0.0000 0.0000 1
O1 0.0316 0.3405 0.6279 1
```

## Properties
- total magnetization (Bohr magnetons per cell) = 4.00
- total DFT energy (no corrections) (eV per atom) = -8.19


Material: NbVMoO6
Method: DFT, PBE with a Hubbard U
State: optimized geometry

Geometry as CIF:
```
data_NbVMoO6
_chemical_formula_sum 'Nb2 V2 Mo2 O12'
_cell_length_a 5.1308
_cell_length_b 5.1308
_cell_length_c 9.1760
_cell_angle_alpha 90.00
_cell_angle_beta 90.00
_cell_angle_gamma 120.00
_space_group_name_H-M_alt 'P -3 1 c'
_space_group_IT_number 163
_space_group_name_Hall '-P 3 2c'
loop_
_atom_site_label
_atom_site_fract_x
_atom_site_fract_y
_atom_site_fract_z
_atom_site_occupancy
Nb1 0.3333 0.6667 0.2500 1
V1 0.3333 0.6667 0.7500 1
Mo1 0.0000 0.0000 0.0000 1
O1 0.0040 0.3339 0.1309 1
```

## Properties
- total magnetization (Bohr magnetons per cell) = 8.00
- total DFT energy (no corrections) (eV per atom) = -8.14


Material: YNbMoO6
Method: DFT, PBE with a Hubbard U
State: optimized geometry

Geometry as CIF:
```
data_YNbMoO6
_chemical_formula_sum 'Y2 Nb2 Mo2 O12'
_cell_length_a 5.4403
_cell_length_b 5.4403
_cell_length_c 8.9956
_cell_angle_alpha 90.00
_cell_angle_beta 90.00
_cell_angle_gamma 120.00
_space_group_name_H-M_alt 'P -3 1 c'
_space_group_IT_number 163
_space_group_name_Hall '-P 3 2c'
loop_
_atom_site_label
_atom_site_fract_x
_atom_site_fract_y
_atom_site_fract_z
_atom_site_occupancy
Y1 0.3333 0.6667 0.2500 1
Nb1 0.3333 0.6667 0.7500 1
Mo1 0.0000 0.0000 0.0000 1
O1 0.0385 0.3415 0.6269 1
```

## Properties
- total magnetization (Bohr magnetons per cell) = 4.00
- total DFT energy (no corrections) (eV per atom) = -8.37


total magnetization of number 4 (TmNbMoO6)?
4.00 Bohr magnetons per cell